[1]
The following is a PBE calculation of a relaxed structure of Mn2TlIn, from Alexandria via LeMat-Bulk.

Computed properties:
- Space group: C2/m
- Formation energy from the elements: 0.45 eV per atom
- Raw total energy: -5.415 eV per atom

Cell and atoms, written as POSCAR:
```
Mn2TlIn
1.0
4.639 -1.622 0.000
4.639 1.622 0.000
-1.214 0.000 5.297
Mn Tl In
2 1 1
Direct
0.248 0.248 0.234
0.752 0.752 0.766
0.000 0.000 0.500
0.500 0.500 0.000
```

***

[2]
The following is a PBE calculation of a relaxed structure of Li2In6Pd, from Alexandria via LeMat-Bulk.

Computed properties:
- Space group: C2/m
- Formation energy from the elements: -0.23 eV per atom
- Raw total energy: -3.058 eV per atom

Cell and atoms, written as POSCAR:
```
Li2In6Pd
1.0
6.677 -2.199 0.000
6.677 2.199 0.000
-4.470 0.000 6.703
Li In Pd
2 6 1
Direct
0.157 0.157 0.498
0.843 0.843 0.502
0.097 0.097 0.785
0.239 0.239 0.225
0.425 0.425 0.780
0.575 0.575 0.220
0.761 0.761 0.775
0.903 0.903 0.215
0.500 0.500 0.500
```

***

[3]
The following is a PBE calculation of a relaxed structure of Pr2ZrSc, from Alexandria via LeMat-Bulk.

Computed properties:
- Space group: R-3m
- Formation energy from the elements: 0.32 eV per atom
- Raw total energy: -5.785 eV per atom

Cell and atoms, written as POSCAR:
```
Pr2ZrSc
1.0
1.679 0.969 12.020
-1.679 0.969 12.020
0.000 -1.939 12.020
Pr Zr Sc
2 1 1
Direct
0.087 0.087 0.087
0.913 0.913 0.913
0.000 0.000 0.000
0.500 0.500 0.500
```

***

[4]
The following is a PBE calculation of a relaxed structure of CaBeNb3, from Alexandria via LeMat-Bulk.

Computed properties:
- Space group: Pm-3m
- Formation energy from the elements: 0.72 eV per atom
- Raw total energy: -6.463 eV per atom

Cell and atoms, written as POSCAR:
```
CaBeNb3
1.0
4.639 0.000 0.000
0.000 4.639 0.000
0.000 0.000 4.639
Ca Be Nb
1 1 3
Direct
0.000 0.000 0.000
0.500 0.500 0.500
0.000 0.500 0.500
0.500 0.000 0.500
0.500 0.500 0.000
```

***

[5]
The following is a PBE calculation of a relaxed structure of LaBF3, from Alexandria via LeMat-Bulk.

Computed properties:
- ΔE_f (raw): -1.48 eV/atom
- Space group: Pm-3m
- Raw total energy: -4.927 eV per atom

Cell and atoms, written as POSCAR:
```
LaBF3
1.0
4.131 0.000 0.000
0.000 4.131 0.000
0.000 0.000 4.131
La B F
1 1 3
Direct
0.000 0.000 0.000
0.500 0.500 0.500
0.000 0.500 0.500
0.500 0.000 0.500
0.500 0.500 0.000
```

***

[6]
The following is a PBE calculation of a relaxed structure of LaSmRu4, from Alexandria via LeMat-Bulk.

Computed properties:
- Space group: F-43m
- Formation energy from the elements: -0.15 eV per atom
- Raw total energy: -7.946 eV per atom

Cell and atoms, written as POSCAR:
```
LaSmRu4
1.0
0.000 3.836 3.836
3.836 0.000 3.836
3.836 3.836 0.000
La Sm Ru
1 1 4
Direct
0.000 0.000 0.000
0.750 0.750 0.750
0.375 0.375 0.375
0.375 0.375 0.874
0.375 0.874 0.375
0.874 0.375 0.375
```

***

[7]
The following is a PBE calculation of a relaxed structure of SrCaFeTe2, from Alexandria via LeMat-Bulk.

Computed properties:
- ΔE_f (raw): 0.50 eV/atom
- Space group: P4/mmm
- Raw total energy: -3.184 eV per atom

Cell and atoms, written as POSCAR:
```
SrCaFeTe2
1.0
5.734 0.000 0.000
0.000 5.734 0.000
0.000 0.000 6.526
Sr Ca Fe Te
1 1 1 2
Direct
0.000 0.000 0.000
0.000 0.000 0.500
0.500 0.500 0.000
0.000 0.500 0.500
0.500 0.000 0.500
```

***

[8]
The following is a PBE calculation of a relaxed structure of Zr3US6, from Alexandria via LeMat-Bulk.

Computed properties:
- ΔE_f (raw): -1.52 eV/atom
- Space group: P2_1/m
- Raw total energy: -7.690 eV per atom

Cell and atoms, written as POSCAR:
```
Zr3US6
1.0
10.642 0.000 0.000
0.000 3.672 0.000
-3.371 0.000 10.245
Zr U S
6 2 12
Direct
0.067 0.250 0.156
0.184 0.750 0.504
0.364 0.250 0.928
0.636 0.750 0.072
0.816 0.250 0.496
0.933 0.750 0.844
0.454 0.250 0.298
0.546 0.750 0.702
0.016 0.250 0.382
0.112 0.250 0.931
0.237 0.750 0.275
0.300 0.750 0.750
0.376 0.250 0.534
0.405 0.750 0.101
0.595 0.250 0.899
0.624 0.750 0.466
0.700 0.250 0.250
0.763 0.250 0.725
0.888 0.750 0.069
0.984 0.750 0.618
```

***

no.,DOS(E_F) (states/eV per atom),volume (A^3/atom)
1,0.77,19.94
2,0.30,21.88
3,1.30,29.34
4,0.97,19.97
5,1.11,14.10
6,1.39,18.82
7,1.06,42.92
8,0.84,20.01